## Co2SiNiO4 (PBE+U)

Data for Co2SiNiO4 after structural relaxation.

extended XYZ file:
```
8
Lattice="4.585 0.139 0.000 -0.242 4.581 0.000 -2.172 -2.360 4.369" Properties=species:S:1:pos:R:3 pbc="T T T"
Ni 0.000 0.000 0.344
O -0.925 -1.005 3.361
O 1.190 3.263 0.901
O 0.925 1.005 3.361
Co 2.293 0.070 2.152
Co -0.121 2.290 2.152
Si 0.000 0.000 4.307
O 3.154 1.457 0.901
```

## Properties
Spin magnetization, μB/atom: 0.773
Uncorrected energy, eV/atom: -6.068